A relaxed structure of PmPaTlSn. Source: the Alexandria database, functional PBE.

Structure (POSCAR):
```
PmPaTlSn
1.0
-4.1023 3.0809 1.7107
-4.7449 -2.2697 1.2577
-1.5966 -0.2452 5.1612
Pa Tl Sn Pm
1 1 1 1
direct
0.0000 0.0000 0.0000
0.2500 0.2500 0.2500
0.7500 0.7500 0.7500
0.5000 0.5000 0.5000
```

Spin magnetization (μB/cell): 2.19
DFT formation energy (eV per formula unit): -0.491

A relaxed structure of AcTbThN3. Source: the Alexandria database, functional PBE.

Structure (POSCAR):
```
AcTbThN3
1.0
-1.8347 2.8448 1.0878
-4.7885 -4.3575 3.3192
5.0867 0.0241 8.5161
Ac Th N Tb
2 2 6 2
direct
0.7500 0.8800 0.7976
0.2500 0.1200 0.2024
0.2500 0.6157 0.1359
0.7500 0.3843 0.8641
0.2500 0.8749 0.5930
0.2500 0.6252 0.9029
0.7500 0.8120 0.2058
0.7500 0.3748 0.0971
0.2500 0.1880 0.7942
0.7500 0.1251 0.4070
0.2500 0.1874 0.5467
0.7500 0.8126 0.4533
```

Spin magnetization (μB/cell): 0.00
Formation energy without anion corrections (eV per atom): -1.219

A relaxed structure of Ac2SmBrO4. Source: the Alexandria database, functional PBE.

Structure (POSCAR):
```
Ac2SmBrO4
1.0
4.1445 0.0000 0.0000
0.0000 4.1445 0.0000
0.0000 0.0000 9.7879
Br Sm O Ac
1 1 4 2
direct
0.0000 0.0000 0.5000
0.0000 0.0000 0.0000
0.5000 0.0000 0.8554
0.0000 0.5000 0.8554
0.5000 0.0000 0.1446
0.0000 0.5000 0.1446
0.5000 0.5000 0.2602
0.5000 0.5000 0.7398
```

Spin magnetization (μB/cell): 0.00
Formation energy without anion corrections (eV per atom): -3.158

A relaxed structure of Ac12CdCo6. Source: the Alexandria database, functional PBE.

Structure (POSCAR):
```
Ac12CdCo6
1.0
8.6782 0.0000 -3.0682
-4.3391 7.5155 -3.0682
0.0000 0.0000 9.2046
Ac Co Cd
12 6 1
direct
0.8114 0.3123 0.1237
0.6877 0.4991 0.8114
0.5009 0.1886 0.3123
0.1886 0.6877 0.8763
0.4991 0.8114 0.6877
0.3123 0.5009 0.1886
0.6877 0.8763 0.1886
0.3123 0.1237 0.8114
0.8114 0.6877 0.4991
0.1886 0.3123 0.5009
0.1237 0.8114 0.3123
0.8763 0.1886 0.6877
0.5000 0.1082 0.6082
0.6082 0.5000 0.1082
0.5000 0.8918 0.3918
0.8918 0.3918 0.5000
0.1082 0.6082 0.5000
0.3918 0.5000 0.8918
0.0000 0.0000 0.0000
```

Spin magnetization (μB/cell): 0.00
DFT formation energy (eV per formula unit): -1.202

A relaxed structure of BeTl2Te. Source: the Alexandria database, functional PBE.

Structure (POSCAR):
```
BeTl2Te
1.0
-0.8151 2.2212 -3.4449
0.4008 -2.6962 -1.8332
-7.1118 -4.4187 -1.1663
Tl Te Be
2 1 1
direct
0.0000 0.3474 0.4545
0.0000 0.1526 0.0455
0.5000 0.7500 0.7500
0.5000 0.2500 0.2500
```

Spin magnetization (μB/cell): 0.00
Energy relative to the lowest polymorph listed for this composition (kcal/mol of atoms): 10.044
Formation energy without anion corrections (eV per atom): 0.451

A relaxed structure of HoThHg. Source: the Alexandria database, functional PBE.

Structure (POSCAR):
```
HoThHg
1.0
-2.3610 -2.2859 -1.3647
0.1776 -2.9300 4.6007
-5.3897 5.9498 3.9972
Hg Th Ho
2 2 2
direct
0.5629 0.7500 0.1257
0.4371 0.2500 0.8743
0.7740 0.2500 0.5480
0.2260 0.7500 0.4520
0.0862 0.2500 0.1724
0.9138 0.7500 0.8276
```

Spin magnetization (μB/cell): 0.00
Energy relative to the lowest polymorph listed for this composition (kcal/mol of atoms): 0.020
DFT formation energy (eV per formula unit): -0.668

A relaxed structure of HgPRu4. Source: the Alexandria database, functional PBE.

Structure (POSCAR):
```
HgPRu4
1.0
0.0000 3.6616 3.6616
3.6616 0.0000 3.6616
3.6616 3.6616 0.0000
Ru Hg P
4 1 1
direct
0.3745 0.3745 0.3745
0.3745 0.3745 0.8766
0.3745 0.8766 0.3745
0.8766 0.3745 0.3745
0.7500 0.7500 0.7500
0.0000 0.0000 0.0000
```

Spin magnetization (μB/cell): 2.75
DFT formation energy (eV per formula unit): 4.900

A relaxed structure of Sr6Cd. Source: the Alexandria database, functional PBE.

Structure (POSCAR):
```
Sr6Cd
1.0
-4.4378 -2.0993 8.9345
4.9575 -8.2523 -3.3539
6.6017 7.6741 1.2049
Sr Cd
6 1
direct
0.7500 0.2500 0.5000
0.2500 0.7500 0.5000
0.5000 0.2500 0.7500
0.2500 0.5000 0.7500
0.5000 0.7500 0.2500
0.7500 0.5000 0.2500
0.0000 0.0000 0.0000
```

Spin magnetization (μB/cell): 1.40
DFT formation energy (eV per formula unit): 6.569

A relaxed structure of RbBa2I6. Source: the Alexandria database, functional PBE.

Structure (POSCAR):
```
RbBa2I6
1.0
9.5443 0.0000 -1.1922
0.0000 7.8076 0.0000
-3.0483 0.0000 12.9632
Ba I Rb
4 12 2
direct
0.4621 0.0902 0.2931
0.9621 0.4098 0.7931
0.5379 0.9098 0.7069
0.0379 0.5902 0.2069
0.2023 0.3139 0.0706
0.2448 0.3181 0.4081
0.2470 0.6716 0.7466
0.7977 0.6861 0.9294
0.7552 0.6819 0.5919
0.7023 0.1861 0.5706
0.2977 0.8139 0.4294
0.2552 0.8181 0.0919
0.7470 0.8284 0.2466
0.7448 0.1819 0.9081
0.7530 0.3284 0.2534
0.2530 0.1716 0.7534
0.0000 0.0000 0.5000
0.5000 0.5000 0.0000
```

Spin magnetization (μB/cell): 0.00
Formation energy without anion corrections (eV per atom): -1.412

A relaxed structure of HoPd2Pt4. Source: the Alexandria database, functional PBE.

Structure (POSCAR):
```
HoPd2Pt4
1.0
7.9421 -0.0011 -3.5596
-1.1333 4.6802 -2.5300
-1.2783 0.7425 7.7986
Ho Pt Pd
2 8 4
direct
0.2485 0.9258 0.8516
0.6452 0.8234 0.6468
0.8162 0.1189 0.2376
0.9133 0.0651 0.6155
0.9133 0.5505 0.6155
0.4676 0.2580 0.5159
0.5486 0.6851 0.8850
0.8295 0.6317 0.2634
0.5487 0.1999 0.8850
0.2017 0.4919 0.9839
0.2066 0.3027 0.6053
0.8514 0.4475 0.8949
0.5297 0.8750 0.2498
0.5297 0.3748 0.2498
```

Spin magnetization (μB/cell): 0.00
DFT formation energy (eV per formula unit): -1.784

A relaxed structure of Er2SbRh3. Source: the Alexandria database, functional PBE.

Structure (POSCAR):
```
Er2SbRh3
1.0
-1.6907 1.6008 4.7077
3.7868 0.7441 3.5623
1.0191 5.0310 1.1106
Rh Er Sb
3 2 1
direct
0.0000 0.5000 0.0000
0.0000 0.0000 0.5000
0.5000 0.0000 0.0000
0.6284 0.6284 0.6284
0.3716 0.3716 0.3716
0.0000 0.0000 0.0000
```

Spin magnetization (μB/cell): 0.00
Formation energy without anion corrections (eV per atom): -0.861

A relaxed structure of Pm2HoF11. Source: the Alexandria database, functional PBE.

Structure (POSCAR):
```
Pm2HoF11
1.0
7.6351 0.0000 3.9797
3.5127 7.6257 2.5746
0.2798 -0.0636 8.7771
F Ho Pm
22 2 4
direct
0.4528 0.9785 0.3148
0.8324 0.9385 0.7917
0.3324 0.2917 0.4385
0.0472 0.1852 0.5215
0.5472 0.0215 0.6852
0.2539 0.3148 0.9785
0.7539 0.4785 0.8148
0.6069 0.3112 0.6888
0.0626 0.5615 0.7083
0.4374 0.7917 0.9385
0.9528 0.8148 0.4785
0.6676 0.7083 0.5615
0.1676 0.0615 0.2083
0.5626 0.2083 0.0615
0.8931 0.8112 0.1888
0.1069 0.1888 0.8112
0.5000 0.5000 0.5000
0.7461 0.6852 0.0215
0.3931 0.6888 0.3112
0.2461 0.5215 0.1852
0.0000 0.0000 0.0000
0.9374 0.4385 0.2917
0.2500 0.2500 0.2500
0.7500 0.7500 0.7500
0.1635 0.8094 0.1906
0.8365 0.1906 0.8094
0.3365 0.3094 0.6906
0.6635 0.6906 0.3094
```

Spin magnetization (μB/cell): 4.22
Formation energy without anion corrections (eV per atom): -3.426

Look up the spin magnetization of the eighth one.
1.40 μB/cell

spin magnetization of number 11 (Er2SbRh3)?
0.00 μB/cell